A plane-wave DFT calculation with GGA-PBE was carried out for crystalline Mg3TlIn12 at its relaxed geometry.

a = 4.746 Å, b = 4.746 Å, c = 18.329 Å
α = 90.00°, β = 90.00°, γ = 90.00°
Sites, in units of the cell vectors:
In 0.500 0.000 0.865
In 0.500 0.000 0.135
In 0.500 0.500 0.500
In 0.000 0.500 0.622
In 0.500 0.000 0.622
In 0.000 0.500 0.865
In 0.500 0.000 0.378
In 0.000 0.500 0.378
In 0.500 0.500 0.000
In 0.000 0.500 0.135
In 0.500 0.500 0.258
In 0.500 0.500 0.742
Tl 0.000 0.000 0.000
Mg 0.000 0.000 0.742
Mg 0.000 0.000 0.500
Mg 0.000 0.000 0.258

Summary:
VASP energy ... -2.52 eV/atom
Space group ... P4/mmm, No. 123
ΔE_f ... -0.0143 eV per atom
Crystal system ... tetragonal

A plane-wave DFT calculation with GGA-PBE was carried out for crystalline Mg4Tl2In5 at its relaxed geometry.

a = 3.271 Å, b = 7.704 Å, c = 11.147 Å
α = 84.09°, β = 90.00°, γ = 90.00°
Sites, in units of the cell vectors:
Mg 0.500 0.706 0.471
Mg 0.500 0.201 0.129
Mg 0.500 0.294 0.529
Mg 0.500 0.799 0.871
In 0.000 0.155 0.882
In 0.000 0.516 0.704
In 0.000 0.845 0.118
In 0.000 0.484 0.296
In 0.000 0.500 0.000
Tl 0.000 0.956 0.645
Tl 0.000 0.044 0.355

Summary:
VASP energy ... -2.27 eV/atom
Space group ... P2/m, No. 10
ΔE_f ... -0.0133 eV per atom
Crystal system ... monoclinic

A plane-wave DFT calculation with GGA-PBE was carried out for crystalline MgTlIn at its relaxed geometry.

a = 5.835 Å, b = 8.080 Å, c = 5.511 Å
α = 136.36°, β = 62.70°, γ = 107.55°
Sites, in units of the cell vectors:
Tl 0.343 0.802 0.252
Tl 0.978 0.313 0.894
Mg 0.661 0.300 0.537
Mg 0.659 0.815 0.609
In 0.326 0.306 0.218
In 0.995 0.809 0.928

Summary:
VASP energy ... -2.21 eV/atom
Space group ... P-1, No. 2
ΔE_f ... 0.0253 eV per atom
Crystal system ... triclinic